Entry from Alexandria via LeMat-Bulk: crystalline NiSb at its relaxed geometry (PBE).

Results
Density of states at the Fermi level in states/eV per cell: 5.44
Energy relative to the elements, uncorrected in meV per atom: -37
Space-group type: I-4m2, No. 119

a = 3.4081 Å, b = 3.4081 Å, c = 12.6351 Å
α = 90.00°, β = 90.00°, γ = 90.00°
Closest atoms and distances in Å follow each position.
Sites, in units of the cell vectors:
Ni: 0.5000 0.5000 0.6001  1 Ni 2.53, 6 Sb 2.55-2.72
Ni: 0.5000 0.5000 0.3999  1 Ni 2.53, 6 Sb 2.55-2.72
Ni: 0.0000 0.0000 0.1001  1 Ni 2.53, 6 Sb 2.55-2.72
Ni: 0.0000 0.0000 0.8999  1 Ni 2.53, 6 Sb 2.55-2.72
Sb: 0.5000 0.0000 0.2500  4 Ni 2.55
Sb: 0.0000 0.0000 0.5000  8 Ni 2.72
Sb: 0.5000 0.5000 0.0000  8 Ni 2.72
Sb: 0.0000 0.5000 0.7500  4 Ni 2.55